DFT (GGA-PBEsol) results for a relaxed structure of AuCl2.

Computed properties:
raw formation energy: -14.5 kJ per mole of atoms
calculated volume: 24.5 A^3/atom

Cell: 6.094 6.094 6.941 Å, 90.00 90.00 145.26°
Element x y z (fractional)
Au1 0.211 0.789 0.750
Au2 0.789 0.211 0.250
Cl1 0.152 0.848 0.250
Cl2 0.424 0.576 0.250
Cl3 0.576 0.424 0.750
Cl4 0.848 0.152 0.750